# CsLu2Cu3SeS4 GGA-PBE relaxed
data_CsLu2Cu3SeS4
_chemical_formula_sum 'Cs4 Lu8 Cu12 Se4 S16'
_symmetry_space_group_name_H-M 'C m c m'
_symmetry_Int_Tables_number 63
_symmetry_space_group_name_Hall '-C 2c 2'
_cell_length_a 3.948
_cell_length_b 14.033
_cell_length_c 16.688
_cell_angle_alpha 90.00
_cell_angle_beta 90.00
_cell_angle_gamma 90.00
loop_
_atom_site_label
_atom_site_fract_x
_atom_site_fract_y
_atom_site_fract_z
Cs1 0.000 0.060 0.250
Lu1 0.000 0.191 0.589
Cu1 0.000 0.353 0.250
Cu2 0.000 0.416 0.537
Se1 0.000 0.239 0.750
S1 0.000 0.172 0.068
S2 0.000 0.436 0.108
# VASP energy, eV/atom: -4.925
# Total moment, μB per formula unit: 0.00



# CsLu2CuSe3S GGA-PBE relaxed
data_CsLu2CuSe3S
_chemical_formula_sum 'Cs4 Lu8 Cu4 Se12 S4'
_symmetry_space_group_name_H-M 'C m c m'
_symmetry_Int_Tables_number 63
_symmetry_space_group_name_Hall '-C 2c 2'
_cell_length_a 4.065
_cell_length_b 14.379
_cell_length_c 14.158
_cell_angle_alpha 90.00
_cell_angle_beta 90.00
_cell_angle_gamma 90.00
loop_
_atom_site_label
_atom_site_fract_x
_atom_site_fract_y
_atom_site_fract_z
Cs1 0.000 0.103 0.250
Lu1 0.000 0.367 0.068
Cu1 0.000 0.163 0.750
Se1 0.000 0.000 0.000
Se2 0.000 0.259 0.605
S1 0.000 0.417 0.250
# VASP energy, eV/atom: -5.010
# Total moment, μB per formula unit: 0.00



# CsLu2Cu3Se4S GGA-PBE relaxed
data_CsLu2Cu3Se4S
_chemical_formula_sum 'Cs4 Lu8 Cu12 Se16 S4'
_symmetry_space_group_name_H-M 'C m c m'
_symmetry_Int_Tables_number 63
_symmetry_space_group_name_Hall '-C 2c 2'
_cell_length_a 4.058
_cell_length_b 14.626
_cell_length_c 16.905
_cell_angle_alpha 90.00
_cell_angle_beta 90.00
_cell_angle_gamma 90.00
loop_
_atom_site_label
_atom_site_fract_x
_atom_site_fract_y
_atom_site_fract_z
Cs1 0.000 0.065 0.250
Lu1 0.000 0.193 0.595
Cu1 0.000 0.342 0.250
Cu2 0.000 0.417 0.534
Se1 0.000 0.172 0.070
Se2 0.000 0.437 0.113
S1 0.000 0.231 0.750
# VASP energy, eV/atom: -4.688
# Total moment, μB per formula unit: 0.00



- Look up the total moment of the first one.
  0.00 μB per formula unit